PmDy3Se6 | PBE | relaxed

Geometry as CIF:
```
data_PmDy3Se6
_symmetry_space_group_name_H-M 'P 1 21/m 1'
_symmetry_Int_Tables_number 11
_cell_length_a 11.611
_cell_length_b 4.133
_cell_length_c 11.904
_cell_angle_alpha 90.00
_cell_angle_beta 109.07
_cell_angle_gamma 90.00
loop_
_symmetry_equiv_pos_as_xyz
'x,y,z'
'-x,-y,-z'
'-x,y+1/2,-z'
'x,-y+1/2,z'
loop_
_atom_site_label
_atom_site_fract_x
_atom_site_fract_y
_atom_site_fract_z
Pm1 0.046 0.250 0.194
Dy1 0.159 0.250 0.585
Dy2 0.318 0.750 0.999
Dy3 0.436 0.250 0.333
Se1 0.083 0.750 0.404
Se2 0.115 0.250 0.965
Se3 0.195 0.750 0.750
Se4 0.258 0.750 0.225
Se5 0.395 0.250 0.561
Se6 0.480 0.250 0.114
```

Computed properties:
Total magnetic moment (μB per formula unit): 0.00
Energy relative to the elements, uncorrected (eV/atom): -1.8868
Final energy (eV per atom): -5.833
V (Å³ per atom): 26.99